No. 1
Computed, not measured: a geometry-optimized YTm2Nb structure at the GGA-PBE level of DFT.

Computed properties:
Density of states at the Fermi level in states/eV per atom: 1.5440
E_form in eV per atom: 0.53

Cell: 11.660 11.660 11.660 Å, 16.17 16.17 16.17°
Atoms (fractional coordinates):
Y  0.000  0.000  0.000
Tm  0.417  0.417  0.417
Tm  0.583  0.583  0.583
Nb  0.500  0.500  0.500

No. 2
Computed, not measured: a geometry-optimized LaZrIn structure at the GGA-PBE level of DFT.

Computed properties:
Density of states at the Fermi level in states/eV per atom: 1.4019
ΔE to the lowest computed polymorph in eV/atom: 0.009
E_form in eV per atom: -0.12

Cell: 6.168 6.168 6.168 Å, 147.30 139.08 53.33°
Atoms (fractional coordinates):
La  0.000  0.000  0.000
Zr  0.690  0.690  0.000
In  0.315  0.315  0.000

No. 3
Computed, not measured: a geometry-optimized Sb2PtAu structure at the GGA-PBE level of DFT.

Computed properties:
Density of states at the Fermi level in states/eV per atom: 0.4423
ΔE to the lowest computed polymorph in eV/atom: 0.155

Cell: 3.499 3.546 7.404 Å, 90.00 90.00 90.00°
Atoms (fractional coordinates):
Sb  0.000  0.000  0.000
Sb  0.500  0.500  0.412
Pt  0.500  0.500  0.823
Au  0.000  0.000  0.603

No. 4
Computed, not measured: a geometry-optimized YTaSn2 structure at the GGA-PBE level of DFT.

Computed properties:
Density of states at the Fermi level in states/eV per atom: 1.5360
ΔE to the lowest computed polymorph in eV/atom: 0.000
E_form in eV per atom: 0.00

Cell: 5.071 5.071 5.071 Å, 60.00 60.00 60.00°
Atoms (fractional coordinates):
Y  0.000  0.000  0.000
Ta  0.500  0.500  0.500
Sn  0.250  0.250  0.250
Sn  0.750  0.750  0.750